1.
4
Lattice="5.395 0.039 0.000 2.558 4.750 0.000 -3.977 -2.394 2.750" Properties=species:S:1:pos:R:3 comment="Cu2SbAs PBE relaxed" dos_ef_per_ev_cell=2.2 space_group="I-4m2, No. 119" vol_a3_per_atom=17.5 e_above_lowest_polymorph_mev_per_atom=219 magmom_total_mub_per_fu=0.0 raw_formation_energy_ev_per_fu=1.17 pbc="T T T"
As 2.698 0.019 1.375
Cu 0.000 0.000 0.000
Cu 1.279 2.375 1.375
Sb 3.977 2.394 0.000



2.
4
Lattice="5.013 0.000 0.000 2.506 4.341 0.000 2.506 1.447 4.093" Properties=species:S:1:pos:R:3 comment="PrTmZnRh PBE relaxed" dos_ef_per_ev_cell=2.2 ef_ev_per_atom=-0.53 space_group="F-43m, No. 216" vol_a3_per_atom=22.3 magmom_total_mub_per_fu=0.0 pbc="T T T"
Pr 2.506 1.447 1.023
Zn 0.000 0.000 0.000
Tm 7.519 4.341 3.070
Rh 5.013 2.894 2.047



3.
5
Lattice="3.584 0.000 0.000 0.000 4.136 0.000 -1.792 -2.068 5.962" Properties=species:S:1:pos:R:3 comment="Hf2SeN2 PBE relaxed" dos_ef_per_ev_cell=0.0 space_group="Immm, No. 71" vol_a3_per_atom=17.7 magmom_total_mub_per_fu=0.0 raw_formation_energy_ev_per_fu=-8.26 pbc="T T T"
Hf 1.792 0.000 2.123
Hf 0.000 2.068 3.839
Se 0.000 0.000 0.000
N 0.000 0.000 3.278
N 1.792 2.068 2.684



4.
18
Lattice="-2.822 -5.606 7.505 6.710 -5.340 -1.466 2.370 9.603 1.687" Properties=species:S:1:pos:R:3 comment="Ac2Sm2Y5 PBE relaxed" dos_ef_per_ev_cell=28.0 ef_ev_per_atom=0.26 space_group="Ima2, No. 46" vol_a3_per_atom=36.0 e_above_lowest_polymorph_mev_per_atom=41 magmom_total_mub_per_fu=0.0 pbc="T T T"
Ac 4.919 -1.705 0.132
Ac 2.062 -0.214 7.437
Ac -0.044 -2.229 5.140
Ac 7.024 0.310 2.429
Sm 5.882 -4.681 -1.285
Sm 1.116 -4.814 3.201
Sm 3.540 0.880 2.125
Sm 5.545 -4.473 4.984
Y 5.934 3.702 2.835
Y 3.143 -7.288 4.276
Y 3.033 7.275 2.359
Y -0.667 -5.521 6.218
Y 0.152 0.505 3.052
Y 5.016 -0.981 4.913
Y 3.255 -2.667 2.991
Y 1.914 2.191 4.974
Y 2.850 -3.724 6.797
Y 1.848 3.622 1.270



5.
4
Lattice="3.222 0.000 0.000 0.000 3.222 0.000 0.000 0.000 7.366" Properties=species:S:1:pos:R:3 comment="Sb2POs PBE relaxed" dos_ef_per_ev_cell=1.9 space_group="P4/mmm, No. 123" vol_a3_per_atom=19.1 magmom_total_mub_per_fu=0.0 raw_formation_energy_ev_per_fu=2.12 pbc="T T T"
Sb 0.000 0.000 5.639
Sb 0.000 0.000 1.728
P 1.611 1.611 3.683
Os 1.611 1.611 0.000



6.
7
Lattice="-1.755 -0.873 5.109 -5.245 -1.265 0.913 -0.395 -9.335 1.199" Properties=species:S:1:pos:R:3 comment="Pr4Bi2Se PBE relaxed" dos_ef_per_ev_cell=7.1 space_group="R-3m, No. 166" vol_a3_per_atom=32.9 magmom_total_mub_per_fu=0.0 raw_formation_energy_ev_per_fu=-6.25 pbc="T T T"
Pr -6.328 -5.123 5.741
Pr -1.066 -6.350 1.479
Pr -4.465 -2.320 3.930
Pr -2.929 -9.152 3.290
Bi -5.602 -8.356 5.438
Bi -1.793 -3.117 1.782
Se 0.000 0.000 0.000



7.
9
Lattice="6.364 0.000 0.000 0.000 6.769 0.000 0.000 -3.384 5.862" Properties=species:S:1:pos:R:3 comment="InCuAgBr6 PBE relaxed" dos_ef_per_ev_cell=6.2 space_group="P312, No. 149" vol_a3_per_atom=28.1 magmom_total_mub_per_fu=1.0 raw_formation_energy_ev_per_fu=-4.26 pbc="T T T"
In 3.182 3.384 1.954
Cu 3.182 0.000 0.000
Ag 0.000 0.000 3.908
Br 4.699 2.377 3.982
Br 4.699 2.132 0.068
Br 4.699 5.644 1.812
Br 1.666 1.125 1.812
Br 1.666 4.637 0.068
Br 1.666 4.392 3.982



8.
11
Lattice="-0.377 -1.409 6.157 5.027 -1.099 -3.195 -0.624 7.303 1.633" Properties=species:S:1:pos:R:3 comment="Rb2DySb2O6 PBE relaxed" dos_ef_per_ev_cell=1.7 space_group="C2/m, No. 12" vol_a3_per_atom=20.2 magmom_total_mub_per_fu=1.0 raw_formation_energy_ev_per_fu=-20.30 pbc="T T T"
Rb 1.688 -0.269 3.293
Rb 2.338 5.063 1.302
Dy -0.501 2.947 3.895
Sb 3.473 3.338 4.228
Sb 0.552 1.456 0.367
O 1.737 2.537 3.938
O 4.467 0.617 -1.249
O -0.248 4.899 2.693
O -0.441 4.178 5.845
O 4.274 -0.105 1.902
O 2.289 2.258 0.657